(1)
A plane-wave DFT calculation with PBE was carried out for Hg2AuN2 after structural relaxation.

magnetization	0.273	μB/atom
uncorrected energy	-24.1	eV/cell
V	157	Å³ per cell
density of states at the Fermi level	0.5064	states/eV per atom

Cell and atoms, written as CIF:
```
data_Hg2AuN2
_cell_length_a 7.238
_cell_length_b 7.238
_cell_length_c 3.003
_cell_angle_alpha 90.00
_cell_angle_beta 90.00
_cell_angle_gamma 90.00
_space_group_name_H-M_alt 'P 4/m b m'
_space_group_IT_number 127
_space_group_name_Hall '-P 4 2ab'
loop_
_atom_site_label
_atom_site_type_symbol
_atom_site_fract_x
_atom_site_fract_y
_atom_site_fract_z
_atom_site_occupancy
Hg1 Hg 0.146 0.354 0.000 1
Au1 Au 0.000 0.000 0.000 1
N1 N 0.156 0.656 0.500 1
```

(2)
A plane-wave DFT calculation with PBE was carried out for Li3Zn4Au after structural relaxation.

magnetization	0.000	μB/atom
V	244	Å³ per cell
density of states at the Fermi level	0.2903	states/eV per atom
ΔE_f	-0.177	eV/atom

Cell and atoms, written as CIF:
```
data_Li3Zn4Au
_cell_length_a 5.203
_cell_length_b 9.072
_cell_length_c 5.173
_cell_angle_alpha 90.00
_cell_angle_beta 90.00
_cell_angle_gamma 90.00
_space_group_name_H-M_alt 'I m m 2'
_space_group_IT_number 44
_space_group_name_Hall 'I 2 -2'
loop_
_atom_site_label
_atom_site_type_symbol
_atom_site_fract_x
_atom_site_fract_y
_atom_site_fract_z
_atom_site_occupancy
Li1 Li 0.000 0.000 0.000 1
Li2 Li 0.000 0.249 0.748 1
Zn1 Zn 0.000 0.249 0.253 1
Zn2 Zn 0.248 0.000 0.490 1
Au1 Au 0.000 0.500 0.504 1
```

(3)
A plane-wave DFT calculation with PBE was carried out for BaIn4Ga after structural relaxation.

magnetization	0.000	μB/atom
V	722	Å³ per cell
density of states at the Fermi level	0.5179	states/eV per atom
ΔE_f	-0.137	eV/atom

Cell and atoms, written as CIF:
```
data_BaIn4Ga
_cell_length_a 8.971
_cell_length_b 8.971
_cell_length_c 8.971
_cell_angle_alpha 90.00
_cell_angle_beta 90.00
_cell_angle_gamma 90.00
_space_group_name_H-M_alt 'F -4 3 m'
_space_group_IT_number 216
_space_group_name_Hall 'F -4 2 3'
loop_
_atom_site_label
_atom_site_type_symbol
_atom_site_fract_x
_atom_site_fract_y
_atom_site_fract_z
_atom_site_occupancy
Ba1 Ba 0.000 0.000 0.000 1
In1 In 0.124 0.124 0.624 1
Ga1 Ga 0.250 0.250 0.250 1
```

Q: What is the V in the third record?
A: 722 Å³ per cell

Q: What is the V in the third record?
A: 722 Å³ per cell

Q: Number 1 is which compound?
A: Hg2AuN2